Computed, not measured: a relaxed structure of Ta2CdPb at the PBE level of DFT.

The value obtained for the total moment is 0.0000 μB/atom. The calculation puts the calculated total energy at -6.57 eV/atom. The value obtained for the formation enthalpy at 0 K is 0.51 eV per atom. The value obtained for the mass density is 13.8 g/cm3.

The structure belongs to space group C2/m (No. 12); the cell edges are 5.9514, 9.7053 and 2.9806 Å and the angles 90.00°, 108.18° and 90.00°. Symmetry generates all atoms from Ta at (0.2500, 0.2500, 0.0000), Cd at (0.0000, 0.0000, 0.5000) and Pb at (0.0000, 0.5000, 0.5000).